Record 1
The following is a DFT calculation (GGA+U) of an optimized crystal structure of Li3Co2O6. Values from VASP.

Results
Energy above the most stable polymorph in this dataset: 0.000 eV per formula unit
E_tot: -59.1 eV/cell
Symmetry: No. 5

Cell and atoms, written as Quantum ESPRESSO input:
```
&SYSTEM
  ibrav = 0, nat = 11, ntyp = 3
/
ATOMIC_SPECIES
Co 58.93 Co.upf
Li 6.94 Li.upf
O 16.00 O.upf
ATOMIC_POSITIONS angstrom
Co 3.626 -0.414 0.517
Co -1.172 -1.741 3.067
Li 1.295 -1.059 1.756
Li -0.379 -3.058 0.599
Li -2.808 -3.730 1.890
O 0.402 -2.701 2.633
O 2.974 -2.030 1.254
O 0.283 -1.210 -0.024
O 1.172 -4.295 0.045
O 1.109 -2.749 -2.629
O -1.456 -3.498 -1.278
CELL_PARAMETERS angstrom
4.836 -0.080 -0.126
-2.347 -2.066 3.692
-0.976 -3.344 -3.575
```

Record 2
The following is a DFT calculation (GGA+U) of an optimized crystal structure of Li3Co2O6. Values from VASP.

Results
Energy above the most stable polymorph in this dataset: 0.065 eV per formula unit
E_tot: -59.1 eV/cell
Symmetry: No. 12

Cell and atoms, written as Quantum ESPRESSO input:
```
&SYSTEM
  ibrav = 0, nat = 11, ntyp = 3
/
ATOMIC_SPECIES
Co 58.93 Co.upf
Li 6.94 Li.upf
O 16.00 O.upf
ATOMIC_POSITIONS angstrom
Co -2.260 2.982 0.085
Co 3.333 1.653 -0.407
Li 0.537 2.317 -0.161
Li -1.173 1.789 -2.324
Li 1.446 1.166 -2.555
O -0.886 3.478 -1.109
O 2.149 2.757 -1.376
O 0.056 0.634 -1.079
O 0.218 2.321 -3.800
O -1.876 0.198 -3.503
O 1.159 -0.524 -3.770
CELL_PARAMETERS angstrom
-3.583 3.297 0.201
4.656 1.339 -0.523
-0.800 -1.680 -4.557
```

Record 3
The following is a DFT calculation (GGA+U) of an optimized crystal structure of LiCo2O6. Values from VASP.

Results
Energy above the most stable polymorph in this dataset: 0.464 eV per formula unit
E_tot: -46.3 eV/cell
Symmetry: No. 5

Cell and atoms, written as Quantum ESPRESSO input:
```
&SYSTEM
  ibrav = 0, nat = 9, ntyp = 3
/
ATOMIC_SPECIES
Co 58.93 Co.upf
Li 6.94 Li.upf
O 16.00 O.upf
ATOMIC_POSITIONS angstrom
Co -2.363 -2.676 -0.094
Co -2.363 2.820 -0.094
Li -1.652 1.003 -2.362
O -0.620 0.038 -1.022
O -3.187 1.552 -1.126
O -3.210 -1.507 -1.181
O -0.095 -1.507 -3.542
O -0.118 1.552 -3.597
O -2.685 0.038 -3.701
CELL_PARAMETERS angstrom
-2.363 -4.117 -0.094
-2.363 4.117 -0.094
1.420 0.000 -4.535
```

Record 4
The following is a DFT calculation (GGA+U) of an optimized crystal structure of LiCoO3. Values from VASP.

Results
E_tot: -21.1 eV/cell
Symmetry: No. 221

Cell and atoms, written as Quantum ESPRESSO input:
```
&SYSTEM
  ibrav = 0, nat = 5, ntyp = 3
/
ATOMIC_SPECIES
Co 58.93 Co.upf
Li 6.94 Li.upf
O 16.00 O.upf
ATOMIC_POSITIONS angstrom
Co 0.000 0.000 0.000
Li 1.759 1.759 1.759
O 1.759 1.759 0.000
O 1.759 0.000 1.759
O 0.000 1.759 1.759
CELL_PARAMETERS angstrom
3.518 0.000 0.000
0.000 3.518 0.000
0.000 0.000 3.518
```

Record 5
The following is a DFT calculation (GGA+U) of an optimized crystal structure of LiCoO3. Values from VASP.

Results
E_tot: -25.3 eV/cell
Symmetry: No. 221

Cell and atoms, written as Quantum ESPRESSO input:
```
&SYSTEM
  ibrav = 0, nat = 5, ntyp = 3
/
ATOMIC_SPECIES
Co 58.93 Co.upf
Li 6.94 Li.upf
O 16.00 O.upf
ATOMIC_POSITIONS angstrom
Co -1.280 -1.980 -2.125
Li 0.000 0.000 0.000
O -0.122 -0.615 -2.515
O -2.222 -0.865 -1.016
O -0.217 -2.481 -0.719
CELL_PARAMETERS angstrom
-2.126 1.001 -2.813
1.883 -2.230 -2.217
-2.317 -2.731 0.780
```

Record 6
The following is a DFT calculation (GGA+U) of an optimized crystal structure of LiCoO3. Values from VASP.

Results
E_tot: -53.2 eV/cell
Symmetry: No. 148

Cell and atoms, written as Quantum ESPRESSO input:
```
&SYSTEM
  ibrav = 0, nat = 10, ntyp = 3
/
ATOMIC_SPECIES
Co 58.93 Co.upf
Li 6.94 Li.upf
O 16.00 O.upf
ATOMIC_POSITIONS angstrom
Co 0.000 8.276 -2.221
Co 0.000 2.759 -2.322
Li 0.000 5.517 -0.334
Li 0.000 5.517 -4.209
O -0.912 7.043 -1.239
O 1.778 5.545 -1.239
O -0.865 3.964 -1.239
O 0.865 7.070 -3.304
O -1.778 5.490 -3.304
O 0.912 3.991 -3.304
CELL_PARAMETERS angstrom
-2.389 4.138 0.000
2.389 4.138 0.000
0.000 2.759 -4.543
```

Record 7
The following is a DFT calculation (GGA+U) of an optimized crystal structure of LiCoO2. Values from VASP.

Results
E_tot: -90.0 eV/cell
Symmetry: No. 227

Cell and atoms, written as Quantum ESPRESSO input:
```
&SYSTEM
  ibrav = 0, nat = 16, ntyp = 3
/
ATOMIC_SPECIES
Co 58.93 Co.upf
Li 6.94 Li.upf
O 16.00 O.upf
ATOMIC_POSITIONS angstrom
Co 0.305 -2.097 1.973
Co -0.622 2.700 0.841
Co -0.317 0.603 2.814
Co -2.926 2.715 -0.912
Li 0.000 0.000 0.000
Li -2.305 0.015 -1.752
Li -2.000 -2.082 0.221
Li -2.622 0.618 1.062
O -0.846 -2.784 3.481
O -1.141 -0.751 1.566
O -3.515 -0.735 -0.238
O -3.795 1.401 -2.173
O -1.449 -0.165 4.296
O -4.398 4.020 -1.357
O -1.728 1.971 2.362
O -4.102 1.987 0.557
CELL_PARAMETERS angstrom
-4.609 0.030 -3.505
0.610 -4.193 3.947
-1.244 5.400 1.681
```

Record 8
The following is a DFT calculation (GGA+U) of an optimized crystal structure of Li4Co2O5. Values from VASP.

Results
E_tot: -58.3 eV/cell
Symmetry: No. 65

Cell and atoms, written as Quantum ESPRESSO input:
```
&SYSTEM
  ibrav = 0, nat = 11, ntyp = 3
/
ATOMIC_SPECIES
Co 58.93 Co.upf
Li 6.94 Li.upf
O 16.00 O.upf
ATOMIC_POSITIONS angstrom
Co 4.187 1.959 1.977
Co 1.975 3.917 1.977
Li 0.000 0.000 0.000
Li 2.300 1.959 0.000
Li 0.000 1.959 1.977
Li 3.863 3.917 0.000
O 0.000 0.000 1.977
O 4.260 1.959 0.000
O 2.111 1.959 1.977
O 4.052 3.917 1.977
O 1.903 3.917 0.000
CELL_PARAMETERS angstrom
0.000 0.000 3.955
6.163 1.959 0.000
0.000 3.917 0.000
```

Q: Among the records above, which one has the lowest E_tot?
A: LiCoO2